(one)
# NiPWO2

A geometry-optimized NiPWO2 structure (PBE with a Hubbard U, Alexandria via LeMat-Bulk).

Results
SG: P4/mmm (123)
magnetic moment: 0.572 μB per atom

abc: 3.732 3.732 4.672
angles: 90.00 90.00 90.00
Fractional positions:
Ni1 0.000 0.000 0.000
P1 0.000 0.000 0.500
W1 0.500 0.500 0.500
O1 0.000 0.500 0.000
O2 0.500 0.000 0.000

---

(two)
# NiPWO2

A geometry-optimized NiPWO2 structure (PBE with a Hubbard U, Alexandria via LeMat-Bulk).

Results
SG: P4/mmm (123)
magnetic moment: 0.196 μB per atom

abc: 3.809 3.809 5.125
angles: 90.00 90.00 90.00
Fractional positions:
Ni1 0.000 0.000 0.000
P1 0.500 0.500 0.000
W1 0.500 0.500 0.500
O1 0.000 0.500 0.500
O2 0.500 0.000 0.500

---

Stability check: which of them is least stable? (one).

---

(one)
# ZnNiP2O7

A geometry-optimized ZnNiP2O7 structure (PBE with a Hubbard U, Alexandria via LeMat-Bulk).

Results
SG: P-1 (2)
magnetic moment: 0.177 μB per atom

abc: 5.610 6.360 7.402
angles: 82.71 87.77 71.60
Fractional positions:
Zn1 0.178 0.345 0.338
Zn2 0.822 0.655 0.662
Ni1 0.239 0.839 0.800
Ni2 0.761 0.161 0.200
P1 0.271 0.803 0.389
P2 0.312 0.313 0.904
P3 0.688 0.687 0.096
P4 0.729 0.197 0.611
O1 0.108 0.045 0.327
O2 0.116 0.643 0.427
O3 0.144 0.551 0.834
O4 0.196 0.134 0.883
O5 0.407 0.306 0.098
O6 0.437 0.723 0.217
O7 0.437 0.794 0.553
O8 0.563 0.206 0.447
O9 0.563 0.277 0.783
O10 0.593 0.694 0.902
O11 0.804 0.866 0.117
O12 0.856 0.449 0.166
O13 0.884 0.357 0.573
O14 0.892 0.955 0.673

---

(two)
# ZnNiP2O7

A geometry-optimized ZnNiP2O7 structure (PBE with a Hubbard U, Alexandria via LeMat-Bulk).

Results
SG: P2_1/c (14)
magnetic moment: 0.179 μB per atom

abc: 7.025 8.395 9.102
angles: 90.00 113.48 90.00
Fractional positions:
Zn1 0.195 0.055 0.318
Zn2 0.195 0.445 0.818
Zn3 0.805 0.555 0.182
Zn4 0.805 0.945 0.682
Ni1 0.272 0.076 0.891
Ni2 0.272 0.424 0.391
Ni3 0.728 0.576 0.609
Ni4 0.728 0.924 0.109
P1 0.029 0.727 0.968
P2 0.029 0.773 0.468
P3 0.439 0.730 0.259
P4 0.439 0.770 0.759
P5 0.561 0.230 0.241
P6 0.561 0.270 0.741
P7 0.971 0.227 0.532
P8 0.971 0.273 0.032
O1 0.022 0.092 0.657
O2 0.022 0.408 0.157
O3 0.056 0.610 0.400
O4 0.056 0.890 0.900
O5 0.128 0.236 0.453
O6 0.128 0.264 0.953
O7 0.245 0.670 0.101
O8 0.245 0.830 0.601
O9 0.383 0.239 0.299
O10 0.383 0.261 0.799
O11 0.390 0.613 0.816
O12 0.390 0.887 0.316
O13 0.476 0.592 0.379
O14 0.476 0.908 0.879
O15 0.524 0.092 0.121
O16 0.524 0.408 0.621
O17 0.610 0.113 0.684
O18 0.610 0.387 0.184
O19 0.617 0.739 0.201
O20 0.617 0.761 0.701
O21 0.755 0.170 0.399
O22 0.755 0.330 0.899
O23 0.872 0.736 0.047
O24 0.872 0.764 0.547
O25 0.944 0.110 0.100
O26 0.944 0.390 0.600
O27 0.978 0.592 0.843
O28 0.978 0.908 0.343

---

Stability check: which of them is least stable? (one).

---

(one)
# ZnNiPO2

A geometry-optimized ZnNiPO2 structure (PBE with a Hubbard U, Alexandria via LeMat-Bulk).

Results
SG: P4/mmm (123)
magnetic moment: 0.307 μB per atom

abc: 3.704 3.704 5.129
angles: 90.00 90.00 90.00
Fractional positions:
Zn1 0.000 0.000 0.000
Ni1 0.500 0.500 0.500
P1 0.000 0.000 0.500
O1 0.000 0.500 0.000
O2 0.500 0.000 0.000

---

(two)
# ZnNiPO2

A geometry-optimized ZnNiPO2 structure (PBE with a Hubbard U, Alexandria via LeMat-Bulk).

Results
SG: P4/mmm (123)
magnetic moment: 0.251 μB per atom

abc: 3.635 3.635 4.798
angles: 90.00 90.00 90.00
Fractional positions:
Zn1 0.000 0.000 0.000
Ni1 0.500 0.500 0.500
P1 0.500 0.500 0.000
O1 0.000 0.500 0.500
O2 0.500 0.000 0.500

---

Stability check: which of them is least stable? (one).

---

(one)
# ZrNiP2O

A geometry-optimized ZrNiP2O structure (PBE with a Hubbard U, Alexandria via LeMat-Bulk).

Results
SG: P4/mmm (123)
magnetic moment: 0.013 μB per atom

abc: 4.491 4.491 3.629
angles: 90.00 90.00 90.00
Fractional positions:
Zr1 0.000 0.000 0.000
Ni1 0.500 0.500 0.500
P1 0.000 0.500 0.500
P2 0.500 0.000 0.500
O1 0.500 0.500 0.000

---

(two)
# ZrNiP2O

A geometry-optimized ZrNiP2O structure (PBE with a Hubbard U, Alexandria via LeMat-Bulk).

Results
SG: P4/mmm (123)
magnetic moment: 0.254 μB per atom

abc: 5.159 5.159 3.952
angles: 90.00 90.00 90.00
Fractional positions:
Zr1 0.000 0.000 0.000
Ni1 0.500 0.500 0.500
P1 0.000 0.500 0.000
P2 0.500 0.000 0.000
O1 0.000 0.000 0.500

---

Stability check: which of them is least stable? (two).

---

(one)
# ZrNiPO2

A geometry-optimized ZrNiPO2 structure (PBE with a Hubbard U, Alexandria via LeMat-Bulk).

Results
SG: P4/mmm (123)
magnetic moment: 0.326 μB per atom

abc: 4.005 4.005 5.620
angles: 90.00 90.00 90.00
Fractional positions:
Zr1 0.000 0.000 0.000
Ni1 0.500 0.500 0.500
P1 0.000 0.000 0.500
O1 0.000 0.500 0.000
O2 0.500 0.000 0.000

---

(two)
# ZrNiPO2

A geometry-optimized ZrNiPO2 structure (PBE with a Hubbard U, Alexandria via LeMat-Bulk).

Results
SG: P4/mmm (123)
magnetic moment: 0.148 μB per atom

abc: 3.810 3.810 4.348
angles: 90.00 90.00 90.00
Fractional positions:
Zr1 0.000 0.000 0.000
Ni1 0.500 0.500 0.500
P1 0.500 0.500 0.000
O1 0.000 0.500 0.500
O2 0.500 0.000 0.500

---

Stability check: which of them is least stable? (two).

---

(one)
# NiPb3O

A geometry-optimized NiPb3O structure (PBE with a Hubbard U, Alexandria via LeMat-Bulk).

Results
SG: Pm-3m (221)
magnetic moment: 0.000 μB per atom

abc: 4.921 4.921 4.921
angles: 90.00 90.00 90.00
Fractional positions:
Ni1 0.000 0.000 0.000
Pb1 0.000 0.500 0.500
Pb2 0.500 0.000 0.500
Pb3 0.500 0.500 0.000
O1 0.500 0.500 0.500

---

(two)
# NiPb3O

A geometry-optimized NiPb3O structure (PBE with a Hubbard U, Alexandria via LeMat-Bulk).

Results
SG: Pm-3m (221)
magnetic moment: 0.000 μB per atom

abc: 4.991 4.991 4.991
angles: 90.00 90.00 90.00
Fractional positions:
Ni1 0.000 0.000 0.000
Pb1 0.000 0.000 0.500
Pb2 0.000 0.500 0.000
Pb3 0.500 0.000 0.000
O1 0.500 0.500 0.500

---

Stability check: which of them is least stable? (two).

---

(one)
# NiPb2O2

A geometry-optimized NiPb2O2 structure (PBE with a Hubbard U, Alexandria via LeMat-Bulk).

Results
SG: P4/mbm (127)
magnetic moment: 0.242 μB per atom

abc: 6.484 6.484 4.005
angles: 90.00 90.00 90.00
Fractional positions:
Ni1 0.000 0.000 0.000
Ni2 0.500 0.500 0.000
Pb1 0.171 0.329 0.500
Pb2 0.329 0.829 0.500
Pb3 0.671 0.171 0.500
Pb4 0.829 0.671 0.500
O1 0.194 0.694 0.000
O2 0.306 0.194 0.000
O3 0.694 0.806 0.000
O4 0.806 0.306 0.000

---

(two)
# NiPb2O2

A geometry-optimized NiPb2O2 structure (PBE with a Hubbard U, Alexandria via LeMat-Bulk).

Results
SG: I4/mmm (139)
magnetic moment: 0.111 μB per atom

abc: 5.182 5.182 5.182
angles: 120.98 120.98 88.32
Fractional positions:
Ni1 0.000 0.000 0.000
Pb1 0.250 0.750 0.500
Pb2 0.750 0.250 0.500
O1 0.253 0.253 0.000
O2 0.747 0.747 0.000

---

Stability check: which of them is least stable? (one).

---

(one)
# NiPt3O

A geometry-optimized NiPt3O structure (PBE with a Hubbard U, Alexandria via LeMat-Bulk).

Results
SG: Pm-3m (221)
magnetic moment: 0.462 μB per atom

abc: 4.582 4.582 4.582
angles: 90.00 90.00 90.00
Fractional positions:
Ni1 0.000 0.000 0.000
Pt1 0.000 0.000 0.500
Pt2 0.000 0.500 0.000
Pt3 0.500 0.000 0.000
O1 0.500 0.500 0.500

---

(two)
# NiPt3O

A geometry-optimized NiPt3O structure (PBE with a Hubbard U, Alexandria via LeMat-Bulk).

Results
SG: Pm-3m (221)
magnetic moment: 0.000 μB per atom

abc: 4.188 4.188 4.188
angles: 90.00 90.00 90.00
Fractional positions:
Ni1 0.000 0.000 0.000
Pt1 0.000 0.500 0.500
Pt2 0.500 0.000 0.500
Pt3 0.500 0.500 0.000
O1 0.500 0.500 0.500

---

Stability check: which of them is least stable? (one).

---

(one)
# NiPt2RhO

A geometry-optimized NiPt2RhO structure (PBE with a Hubbard U, Alexandria via LeMat-Bulk).

Results
SG: P4/mmm (123)
magnetic moment: 0.283 μB per atom

abc: 4.247 4.247 3.842
angles: 90.00 90.00 90.00
Fractional positions:
Ni1 0.000 0.000 0.000
Pt1 0.000 0.500 0.500
Pt2 0.500 0.000 0.500
Rh1 0.500 0.500 0.000
O1 0.000 0.000 0.500

---

(two)
# NiPt2RhO

A geometry-optimized NiPt2RhO structure (PBE with a Hubbard U, Alexandria via LeMat-Bulk).

Results
SG: P4/mmm (123)
magnetic moment: 1.043 μB per atom

abc: 4.545 4.545 4.509
angles: 90.00 90.00 90.00
Fractional positions:
Ni1 0.000 0.000 0.000
Pt1 0.000 0.500 0.000
Pt2 0.500 0.000 0.000
Rh1 0.000 0.000 0.500
O1 0.500 0.500 0.500

---

Stability check: which of them is least stable? (two).

---

(one)
# Rb3NiO3

A geometry-optimized Rb3NiO3 structure (PBE with a Hubbard U, Alexandria via LeMat-Bulk).

Results
SG: Cmcm (63)
magnetic moment: 0.438 μB per atom

abc: 7.405 7.405 5.847
angles: 90.00 90.00 100.99
Fractional positions:
Rb1 0.105 0.895 0.750
Rb2 0.175 0.409 0.750
Rb3 0.409 0.175 0.250
Rb4 0.591 0.825 0.750
Rb5 0.825 0.591 0.250
Rb6 0.895 0.105 0.250
Ni1 0.298 0.702 0.250
Ni2 0.702 0.298 0.750
O1 0.136 0.864 0.250
O2 0.191 0.469 0.250
O3 0.469 0.191 0.750
O4 0.531 0.809 0.250
O5 0.809 0.531 0.750
O6 0.864 0.136 0.750

---

(two)
# Rb3NiO3

A geometry-optimized Rb3NiO3 structure (PBE with a Hubbard U, Alexandria via LeMat-Bulk).

Results
SG: P6_3/m (176)
magnetic moment: 0.429 μB per atom

abc: 8.159 8.159 5.717
angles: 90.00 90.00 120.00
Fractional positions:
Rb1 0.095 0.369 0.250
Rb2 0.275 0.905 0.250
Rb3 0.369 0.275 0.750
Rb4 0.631 0.725 0.250
Rb5 0.725 0.095 0.750
Rb6 0.905 0.631 0.750
Ni1 0.333 0.667 0.750
Ni2 0.667 0.333 0.250
O1 0.130 0.433 0.750
O2 0.303 0.870 0.750
O3 0.433 0.303 0.250
O4 0.567 0.697 0.750
O5 0.697 0.130 0.250
O6 0.870 0.567 0.250

---

Stability check: which of them is least stable? (two).

---

(one)
# Rb2Ni2O3

A geometry-optimized Rb2Ni2O3 structure (PBE with a Hubbard U, Alexandria via LeMat-Bulk).

Results
SG: Pnma (62)
magnetic moment: 0.571 μB per atom

abc: 11.777 6.182 7.928
angles: 90.00 90.00 90.00
Fractional positions:
Rb1 0.060 0.250 0.134
Rb2 0.131 0.750 0.499
Rb3 0.369 0.250 0.999
Rb4 0.440 0.750 0.634
Rb5 0.560 0.250 0.366
Rb6 0.631 0.750 0.001
Rb7 0.869 0.250 0.501
Rb8 0.940 0.750 0.866
Ni1 0.137 0.250 0.722
Ni2 0.227 0.750 0.917
Ni3 0.273 0.250 0.417
Ni4 0.363 0.750 0.222
Ni5 0.637 0.250 0.778
Ni6 0.727 0.750 0.583
Ni7 0.773 0.250 0.083
Ni8 0.863 0.750 0.278
O1 0.121 0.250 0.487
O2 0.151 0.501 0.848
O3 0.151 0.999 0.848
O4 0.349 0.001 0.348
O5 0.349 0.499 0.348
O6 0.379 0.750 0.987
O7 0.621 0.250 0.013
O8 0.651 0.501 0.652
O9 0.651 0.999 0.652
O10 0.849 0.001 0.152
O11 0.849 0.499 0.152
O12 0.879 0.750 0.513

---

(two)
# Rb2Ni2O3

A geometry-optimized Rb2Ni2O3 structure (PBE with a Hubbard U, Alexandria via LeMat-Bulk).

Results
SG: C2/m (12)
magnetic moment: 0.571 μB per atom

abc: 5.981 5.981 6.126
angles: 107.30 107.30 37.34
Fractional positions:
Rb1 0.105 0.105 0.323
Rb2 0.895 0.895 0.677
Ni1 0.346 0.346 0.072
Ni2 0.654 0.654 0.928
O1 0.180 0.180 0.829
O2 0.500 0.500 0.000
O3 0.820 0.820 0.171

---

Stability check: which of them is least stable? (two).